The following is a GGA-PBE calculation of a geometry-optimized ReNiMo2H structure, from Alexandria.

```
data_ReNiMo2H
_chemical_formula_sum 'Re1 Ni1 Mo2 H1'
_cell_length_a 4.0156
_cell_length_b 4.0156
_cell_length_c 3.6931
_cell_angle_alpha 90.00
_cell_angle_beta 90.00
_cell_angle_gamma 90.00
_symmetry_space_group_name_H-M 'P 4/m m m'
_symmetry_Int_Tables_number 123
_symmetry_space_group_name_Hall '-P 4 2'
loop_
_atom_site_label
_atom_site_fract_x
_atom_site_fract_y
_atom_site_fract_z
Re1 0.0000 0.0000 0.0000
Ni1 0.5000 0.5000 0.0000
Mo1 0.0000 0.5000 0.5000
H1 0.5000 0.5000 0.5000
```

Properties
Uncorrected energy (eV/atom): -8.62
Crystal system: tetragonal
DOS at the Fermi energy (states/eV/atom): 0.581
Magnetic moment (μB/f.u.): 0.00